Entry from Alexandria via LeMat-Bulk: Pr2AgRh2 after structural relaxation (PBE-GGA).

Cell: 5.613 5.613 5.613 Å, 132.85 114.89 84.21°
Positions (direct):
Pr: 0.208 0.208 0.000
Pr: 0.792 0.792 0.000
Ag: 0.500 0.000 0.500
Rh: 0.221 0.500 0.721
Rh: 0.779 0.500 0.279

DOS(E_F) = 3.1 states/eV/cell



Entry from Alexandria via LeMat-Bulk: TiPd3 after structural relaxation (PBE-GGA).

Cell: 3.927 3.927 3.927 Å, 90.00 90.00 90.00°
Positions (direct):
Ti: 0.000 0.000 0.000
Pd: 0.000 0.500 0.500
Pd: 0.500 0.000 0.500
Pd: 0.500 0.500 0.000

DOS(E_F) = 1.7 states/eV/cell



Entry from Alexandria via LeMat-Bulk: Sc3Co after structural relaxation (PBE-GGA).

Cell: 3.293 3.293 8.838 Å, 90.00 90.00 120.00°
Positions (direct):
Sc: 0.000 0.000 0.000
Sc: 0.333 0.667 0.304
Sc: 0.333 0.667 0.696
Co: 0.000 0.000 0.500

DOS(E_F) = 4.0 states/eV/cell



Entry from Alexandria via LeMat-Bulk: CaCrMo2 after structural relaxation (PBE-GGA).

Cell: 3.855 3.855 4.884 Å, 90.00 90.00 90.00°
Positions (direct):
Ca: 0.000 0.000 0.000
Cr: 0.500 0.500 0.000
Mo: 0.000 0.500 0.500
Mo: 0.500 0.000 0.500

DOS(E_F) = 4.7 states/eV/cell



Entry from Alexandria via LeMat-Bulk: Mg2CuGeH after structural relaxation (PBE-GGA).

Cell: 4.402 4.402 3.671 Å, 90.00 90.00 90.00°
Positions (direct):
Mg: 0.000 0.500 0.000
Mg: 0.500 0.000 0.000
Cu: 0.000 0.000 0.500
Ge: 0.500 0.500 0.500
H: 0.000 0.000 0.000

DOS(E_F) = 0.7 states/eV/cell



Entry from Alexandria via LeMat-Bulk: TaMn2Re after structural relaxation (PBE-GGA).

Cell: 2.687 2.687 8.154 Å, 90.00 90.00 107.64°
Positions (direct):
Ta: 0.000 0.000 0.000
Mn: 0.000 0.000 0.527
Mn: 0.500 0.500 0.744
Re: 0.500 0.500 0.283

DOS(E_F) = 4.3 states/eV/cell



Entry from Alexandria via LeMat-Bulk: TbEu2Ho after structural relaxation (PBE-GGA).

Cell: 5.838 5.838 4.139 Å, 90.00 90.00 90.00°
Positions (direct):
Tb: 0.000 0.000 0.000
Eu: 0.000 0.500 0.500
Eu: 0.500 0.000 0.500
Ho: 0.500 0.500 0.000

DOS(E_F) = 6.0 states/eV/cell



Entry from Alexandria via LeMat-Bulk: RbSn2I5 after structural relaxation (PBE-GGA).

Cell: 7.800 7.800 16.118 Å, 90.00 90.00 131.69°
Positions (direct):
Rb: 0.006 0.994 0.750
Rb: 0.994 0.006 0.250
Sn: 0.354 0.646 0.560
Sn: 0.354 0.646 0.940
Sn: 0.646 0.354 0.060
Sn: 0.646 0.354 0.440
I: 0.150 0.850 0.051
I: 0.150 0.850 0.449
I: 0.287 0.713 0.750
I: 0.444 0.556 0.122
I: 0.444 0.556 0.378
I: 0.556 0.444 0.622
I: 0.556 0.444 0.878
I: 0.713 0.287 0.250
I: 0.850 0.150 0.551
I: 0.850 0.150 0.949

E_form (uncorrected) = -0.747 eV per atom



Entry from Alexandria via LeMat-Bulk: LaBeTl2 after structural relaxation (PBE-GGA).

Cell: 9.470 9.470 9.470 Å, 148.46 148.46 45.20°
Positions (direct):
La: 0.000 0.000 0.000
La: 0.750 0.250 0.500
Be: 0.250 0.750 0.500
Be: 0.500 0.500 0.000
Tl: 0.242 0.625 0.117
Tl: 0.375 0.492 0.617
Tl: 0.508 0.125 0.883
Tl: 0.875 0.758 0.383

DOS(E_F) = 4.8 states/eV/cell



Entry from Alexandria via LeMat-Bulk: PrHoEr2Au4 after structural relaxation (PBE-GGA).

Cell: 8.999 8.999 8.999 Å, 32.80 32.80 32.80°
Positions (direct):
Pr: 0.000 0.000 0.000
Ho: 0.500 0.500 0.500
Er: 0.248 0.248 0.248
Er: 0.752 0.752 0.752
Au: 0.128 0.128 0.128
Au: 0.382 0.382 0.382
Au: 0.618 0.618 0.618
Au: 0.872 0.872 0.872

DOS(E_F) = 4.2 states/eV/cell



Entry from Alexandria via LeMat-Bulk: Mg2BeIn after structural relaxation (PBE-GGA).

Cell: 6.703 6.703 6.703 Å, 154.25 141.29 47.07°
Positions (direct):
Mg: 0.000 0.000 0.000
Mg: 0.685 0.185 0.500
Be: 0.185 0.685 0.500
In: 0.370 0.370 0.000

DOS(E_F) = 1.3 states/eV/cell



Entry from Alexandria via LeMat-Bulk: Re4Sb3 after structural relaxation (PBE-GGA).

Cell: 15.192 15.192 15.192 Å, 168.56 168.56 16.20°
Positions (direct):
Re: 0.067 0.067 0.000
Re: 0.380 0.380 0.000
Re: 0.620 0.620 0.000
Re: 0.933 0.933 0.000
Sb: 0.187 0.187 0.000
Sb: 0.500 0.500 0.000
Sb: 0.813 0.813 0.000

DOS(E_F) = 5.0 states/eV/cell
E_form (uncorrected) = 0.314 eV per atom



Entry from Alexandria via LeMat-Bulk: BaCePtO6 after structural relaxation (PBE-GGA).

Cell: 5.668 5.668 11.357 Å, 90.00 90.00 120.00°
Positions (direct):
Ba: 0.000 0.000 0.000
Ba: 0.000 0.000 0.500
Ce: 0.333 0.667 0.250
Ce: 0.667 0.333 0.750
Pt: 0.333 0.667 0.750
Pt: 0.667 0.333 0.250
O: 0.034 0.388 0.652
O: 0.034 0.646 0.848
O: 0.354 0.388 0.848
O: 0.354 0.966 0.652
O: 0.388 0.034 0.152
O: 0.388 0.354 0.348
O: 0.612 0.646 0.652
O: 0.612 0.966 0.848
O: 0.646 0.034 0.348
O: 0.646 0.612 0.152
O: 0.966 0.354 0.152
O: 0.966 0.612 0.348

DOS(E_F) = 12.8 states/eV/cell
E_form (uncorrected) = -1.851 eV per atom



Entry from Alexandria via LeMat-Bulk: HoNiPt after structural relaxation (PBE-GGA).

Cell: 5.234 5.234 5.234 Å, 121.52 117.16 91.19°
Positions (direct):
Ho: 0.370 0.120 0.250
Ho: 0.630 0.880 0.750
Ni: 0.000 0.000 0.500
Ni: 0.000 0.500 0.000
Pt: 0.000 0.500 0.500
Pt: 0.500 0.500 0.000

DOS(E_F) = 3.0 states/eV/cell



Entry from Alexandria via LeMat-Bulk: TaCoSb2 after structural relaxation (PBE-GGA).

Cell: 4.883 4.883 5.735 Å, 109.45 109.45 36.32°
Positions (direct):
Ta: 0.000 0.000 0.000
Co: 0.500 0.500 0.500
Sb: 0.222 0.222 0.741
Sb: 0.778 0.778 0.259

DOS(E_F) = 3.7 states/eV/cell
E_form (uncorrected) = 0.353 eV per atom



Entry from Alexandria via LeMat-Bulk: MnCoTcHOs after structural relaxation (PBE-GGA).

Cell: 4.232 2.669 4.614 Å, 90.00 91.18 90.00°
Positions (direct):
Mn: 0.000 0.000 0.000
Co: 0.494 0.000 0.670
Tc: 0.004 0.500 0.503
H: 0.759 0.500 0.843
Os: 0.490 0.500 0.174

DOS(E_F) = 3.1 states/eV/cell



Entry from Alexandria via LeMat-Bulk: Tb3PmIr3 after structural relaxation (PBE-GGA).

Cell: 7.050 7.050 6.679 Å, 90.00 90.00 91.44°
Positions (direct):
Tb: 0.233 0.767 0.000
Tb: 0.244 0.244 0.500
Tb: 0.244 0.756 0.500
Tb: 0.756 0.244 0.500
Tb: 0.756 0.756 0.500
Tb: 0.767 0.233 0.000
Pm: 0.260 0.260 0.000
Pm: 0.740 0.740 0.000
Ir: 0.000 0.000 0.253
Ir: 0.000 0.000 0.747
Ir: 0.000 0.500 0.253
Ir: 0.000 0.500 0.747
Ir: 0.500 0.000 0.253
Ir: 0.500 0.000 0.747

DOS(E_F) = 7.4 states/eV/cell



Entry from Alexandria via LeMat-Bulk: NdGa2IrPt2 after structural relaxation (PBE-GGA).

Cell: 9.801 9.801 9.801 Å, 156.53 156.53 33.43°
Positions (direct):
Nd: 0.000 0.000 0.000
Ga: 0.167 0.167 0.000
Ga: 0.833 0.833 0.000
Ir: 0.500 0.500 0.000
Pt: 0.250 0.750 0.500
Pt: 0.750 0.250 0.500

DOS(E_F) = 5.0 states/eV/cell



Entry from Alexandria via LeMat-Bulk: CoMoPt2 after structural relaxation (PBE-GGA).

Cell: 4.797 4.797 2.716 Å, 90.00 90.00 110.83°
Positions (direct):
Co: 0.000 0.000 0.000
Mo: 0.500 0.500 0.000
Pt: 0.000 0.500 0.500
Pt: 0.500 0.000 0.500

DOS(E_F) = 4.8 states/eV/cell



Entry from Alexandria via LeMat-Bulk: Li3Zn after structural relaxation (PBE-GGA).

Cell: 5.025 5.025 4.931 Å, 102.07 102.07 32.98°
Positions (direct):
Li: 0.000 0.000 0.000
Li: 0.241 0.241 0.737
Li: 0.759 0.759 0.263
Zn: 0.500 0.500 0.500

DOS(E_F) = 1.5 states/eV/cell



The records above give, respectively, E_tot values of -5.960, -6.499, -6.546, -7.473, -3.092, -10.553, -7.268, -2.838, -3.101, -4.785, -2.202, -8.566, -6.701, -6.340, -6.448, -8.241, -7.104, -5.274, -7.622, -1.847 eV per atom.